# 1
# SbBr2Cl GGA-PBEsol optimized geometry
# offset from the most stable computed form = 547 meV per atom
# crystal system = monoclinic
# ΔE_f (raw) = -0.0857 eV per atom
data_SbBr2Cl
_chemical_formula_sum 'Sb2 Br4 Cl2'
_symmetry_space_group_name_H-M 'C 1 2/m 1'
_symmetry_Int_Tables_number 12
_cell_length_a 5.295
_cell_length_b 11.194
_cell_length_c 3.476
_cell_angle_alpha 90.00
_cell_angle_beta 104.53
_cell_angle_gamma 90.00
loop_
_symmetry_equiv_pos_as_xyz
'x,y,z'
'-x,-y,-z'
'-x,y,-z'
'x,-y,z'
'x+1/2,y+1/2,z'
'-x+1/2,-y+1/2,-z'
'-x+1/2,y+1/2,-z'
'x+1/2,-y+1/2,z'
loop_
_atom_site_label
_atom_site_type_symbol
_atom_site_fract_x
_atom_site_fract_y
_atom_site_fract_z
Sb1 Sb 0.000 0.000 0.000
Br1 Br 0.250 0.250 0.500
Cl1 Cl 0.000 0.500 0.000

# 2
# Tc2PdAuO GGA-PBEsol optimized geometry
# crystal system = tetragonal
# ΔE_f (raw) = 0.1618 eV per atom
data_Tc2PdAuO
_chemical_formula_sum 'Tc2 Pd1 Au1 O1'
_symmetry_space_group_name_H-M 'P 4/m m m'
_symmetry_Int_Tables_number 123
_symmetry_space_group_name_Hall '-P 4 2'
_cell_length_a 3.969
_cell_length_b 3.969
_cell_length_c 4.325
_cell_angle_alpha 90.00
_cell_angle_beta 90.00
_cell_angle_gamma 90.00
loop_
_atom_site_label
_atom_site_type_symbol
_atom_site_fract_x
_atom_site_fract_y
_atom_site_fract_z
Tc1 Tc 0.000 0.500 0.000
Pd1 Pd 0.000 0.000 0.500
Au1 Au 0.500 0.500 0.500
O1 O 0.000 0.000 0.000

# 3
# YInIN2 GGA-PBEsol optimized geometry
# crystal system = tetragonal
# ΔE_f (raw) = 0.7709 eV per atom
data_YInIN2
_chemical_formula_sum 'Y1 In1 I1 N2'
_symmetry_space_group_name_H-M 'P 4/m m m'
_symmetry_Int_Tables_number 123
_symmetry_space_group_name_Hall '-P 4 2'
_cell_length_a 4.273
_cell_length_b 4.273
_cell_length_c 5.544
_cell_angle_alpha 90.00
_cell_angle_beta 90.00
_cell_angle_gamma 90.00
loop_
_atom_site_label
_atom_site_type_symbol
_atom_site_fract_x
_atom_site_fract_y
_atom_site_fract_z
Y1 Y 0.000 0.000 0.000
In1 In 0.500 0.500 0.500
I1 I 0.500 0.500 0.000
N1 N 0.000 0.500 0.500

# 4
# Ba3LiTi5Nb3O21 GGA-PBEsol optimized geometry
# crystal system = orthorhombic
# ΔE_f (raw) = -2.9284 eV per atom
data_Ba3LiTi5Nb3O21
_chemical_formula_sum 'Ba12 Li4 Ti20 Nb12 O84'
_symmetry_space_group_name_H-M 'C m c 21'
_symmetry_Int_Tables_number 36
_cell_length_a 15.833
_cell_length_b 9.081
_cell_length_c 11.577
_cell_angle_alpha 90.00
_cell_angle_beta 90.00
_cell_angle_gamma 90.00
loop_
_symmetry_equiv_pos_as_xyz
'x,y,z'
'-x,-y,z+1/2'
'-x,y,z'
'x,-y,z+1/2'
'x+1/2,y+1/2,z'
'-x+1/2,-y+1/2,z+1/2'
'-x+1/2,y+1/2,z'
'x+1/2,-y+1/2,z+1/2'
loop_
_atom_site_label
_atom_site_type_symbol
_atom_site_fract_x
_atom_site_fract_y
_atom_site_fract_z
Ba1 Ba 0.000 0.099 0.000
Ba2 Ba 0.203 0.302 0.501
Li1 Li 0.000 0.489 0.964
Ti1 Ti 0.000 0.251 0.339
Ti2 Ti 0.124 0.376 0.164
Ti3 Ti 0.130 0.377 0.848
Nb1 Nb 0.000 0.263 0.664
Nb2 Nb 0.166 0.001 0.254
O1 O 0.000 0.292 0.178
O2 O 0.000 0.311 0.503
O3 O 0.000 0.315 0.832
O4 O 0.082 0.099 0.652
O5 O 0.084 0.106 0.358
O6 O 0.099 0.403 0.327
O7 O 0.102 0.403 0.006
O8 O 0.107 0.392 0.680
O9 O 0.153 0.176 0.857
O10 O 0.157 0.177 0.153
O11 O 0.241 0.426 0.156
O12 O 0.243 0.430 0.862

# 5
# NiTe2Ir GGA-PBEsol optimized geometry
# crystal system = orthorhombic
# ΔE_f (raw) = -0.0166 eV per atom
data_NiTe2Ir
_chemical_formula_sum 'Ni2 Te4 Ir2'
_symmetry_space_group_name_H-M 'A m m 2'
_symmetry_Int_Tables_number 38
_cell_length_a 4.424
_cell_length_b 5.012
_cell_length_c 7.163
_cell_angle_alpha 90.00
_cell_angle_beta 90.00
_cell_angle_gamma 90.00
loop_
_symmetry_equiv_pos_as_xyz
'x,y,z'
'-x,-y,z'
'-x,y,z'
'x,-y,z'
'x,y+1/2,z+1/2'
'-x,-y+1/2,z+1/2'
'-x,y+1/2,z+1/2'
'x,-y+1/2,z+1/2'
loop_
_atom_site_label
_atom_site_type_symbol
_atom_site_fract_x
_atom_site_fract_y
_atom_site_fract_z
Ni1 Ni 0.000 0.000 0.000
Te1 Te 0.000 0.000 0.392
Te2 Te 0.500 0.000 0.820
Ir1 Ir 0.500 0.000 0.193

# 6
# InPO2F GGA-PBEsol optimized geometry
# crystal system = tetragonal
# ΔE_f (raw) = -1.0344 eV per atom
data_InPO2F
_chemical_formula_sum 'In1 P1 O2 F1'
_symmetry_space_group_name_H-M 'P 4/m m m'
_symmetry_Int_Tables_number 123
_symmetry_space_group_name_Hall '-P 4 2'
_cell_length_a 3.498
_cell_length_b 3.498
_cell_length_c 5.403
_cell_angle_alpha 90.00
_cell_angle_beta 90.00
_cell_angle_gamma 90.00
loop_
_atom_site_label
_atom_site_type_symbol
_atom_site_fract_x
_atom_site_fract_y
_atom_site_fract_z
In1 In 0.000 0.000 0.000
P1 P 0.500 0.500 0.500
O1 O 0.000 0.500 0.500
F1 F 0.500 0.500 0.000

# 7
# LaZrCd2B GGA-PBEsol optimized geometry
# crystal system = tetragonal
# formation energy = 2159 meV per atom
data_LaZrCd2B
_chemical_formula_sum 'La1 Zr1 Cd2 B1'
_symmetry_space_group_name_H-M 'P 4/m m m'
_symmetry_Int_Tables_number 123
_symmetry_space_group_name_Hall '-P 4 2'
_cell_length_a 5.740
_cell_length_b 5.740
_cell_length_c 5.135
_cell_angle_alpha 90.00
_cell_angle_beta 90.00
_cell_angle_gamma 90.00
loop_
_atom_site_label
_atom_site_type_symbol
_atom_site_fract_x
_atom_site_fract_y
_atom_site_fract_z
La1 La 0.000 0.000 0.000
Zr1 Zr 0.000 0.000 0.500
Cd1 Cd 0.000 0.500 0.000
B1 B 0.500 0.500 0.500

# 8
# K2AlHg GGA-PBEsol optimized geometry
# offset from the most stable computed form = 3 meV per atom
# crystal system = orthorhombic
# formation energy = 36 meV per atom
data_K2AlHg
_chemical_formula_sum 'K4 Al2 Hg2'
_symmetry_space_group_name_H-M 'I m m 2'
_symmetry_Int_Tables_number 44
_cell_length_a 4.376
_cell_length_b 5.977
_cell_length_c 10.636
_cell_angle_alpha 90.00
_cell_angle_beta 90.00
_cell_angle_gamma 90.00
loop_
_symmetry_equiv_pos_as_xyz
'x,y,z'
'-x,-y,z'
'-x,y,z'
'x,-y,z'
'x+1/2,y+1/2,z+1/2'
'-x+1/2,-y+1/2,z+1/2'
'-x+1/2,y+1/2,z+1/2'
'x+1/2,-y+1/2,z+1/2'
loop_
_atom_site_label
_atom_site_type_symbol
_atom_site_fract_x
_atom_site_fract_y
_atom_site_fract_z
K1 K 0.000 0.000 0.000
K2 K 0.000 0.500 0.191
Al1 Al 0.000 0.500 0.787
Hg1 Hg 0.000 0.000 0.414